ThMg2Ir2 after structural relaxation. Source: Alexandria via LeMat-Bulk, functional PBE.

Cell: 4.7256 4.7256 5.5461 Å, 90.00 90.00 120.00°
With the nearest neighbours (Å) after each atom.
Fractional positions:
Th: 0.0000 0.0000 0.0000  6 Ir 2.85
Mg: 0.3333 0.6667 0.3680  5 Ir 2.68-2.99
Mg: 0.6667 0.3333 0.6320  5 Ir 2.68-2.99
Ir: 0.3333 0.6667 0.8512  5 Mg 2.68-2.99, 3 Th 2.85
Ir: 0.6667 0.3333 0.1488  5 Mg 2.68-2.99, 3 Th 2.85

As for the formation enthalpy at 0 K: -49.0 kJ/mol of atoms. The value obtained for the raw total energy is -6.174 eV per atom. Its space group is P-3m1, No. 164.

ThMgIr after structural relaxation. Source: Alexandria via LeMat-Bulk, functional PBE.

Cell: 4.7477 4.7477 4.7477 Å, 60.00 60.00 60.00°
With the nearest neighbours (Å) after each atom.
Fractional positions:
Th: 0.0000 0.0000 0.0000  4 Ir 2.91
Mg: 0.5000 0.5000 0.5000  4 Ir 2.91
Ir: 0.2500 0.2500 0.2500  4 Th 2.91, 4 Mg 2.91

As for the formation enthalpy at 0 K: -50.2 kJ/mol of atoms. The value obtained for the raw total energy is -6.478 eV per atom. Its space group is F-43m, No. 216.

Th2MgIr after structural relaxation. Source: Alexandria via LeMat-Bulk, functional PBE.

Cell: 10.5326 10.5326 10.5326 Å, 21.86 21.86 21.86°
With the nearest neighbours (Å) after each atom.
Fractional positions:
Th: 0.1136 0.1136 0.1136  3 Ir 2.83
Th: 0.8864 0.8864 0.8864  3 Ir 2.83
Mg: 0.0000 0.0000 0.0000  2 Th 3.50
Ir: 0.5000 0.5000 0.5000  6 Th 2.83

As for the formation enthalpy at 0 K: -9.7 kJ/mol of atoms. The value obtained for the raw total energy is -6.425 eV per atom. Its space group is R-3m, No. 166.

ThMg3Ir2 after structural relaxation. Source: Alexandria via LeMat-Bulk, functional PBE.

Cell: 8.3884 8.3884 8.9516 Å, 119.00 119.00 27.41°
With the nearest neighbours (Å) after each atom.
Fractional positions:
Th: 0.1366 0.1366 0.1946  4 Ir 2.83-2.89
Th: 0.8634 0.8634 0.8054  4 Ir 2.83-2.89
Mg: 0.0393 0.0393 0.6948  3 Ir 2.69-2.77, 2 Mg 2.90
Mg: 0.3203 0.3203 0.0948  4 Ir 2.75-2.76, 4 Mg 2.86-2.90
Mg: 0.3748 0.3748 0.4937  3 Ir 2.73-2.77
Mg: 0.6252 0.6252 0.5063  3 Ir 2.73-2.77
Mg: 0.6797 0.6797 0.9052  4 Ir 2.75-2.76, 4 Mg 2.86-2.90
Mg: 0.9607 0.9607 0.3052  3 Ir 2.69-2.77, 2 Mg 2.90
Ir: 0.2203 0.2203 0.7391  6 Mg 2.73-2.77, 2 Th 2.89
Ir: 0.4970 0.4970 0.8472  4 Mg 2.69-2.77, 1 Ir 2.69, 2 Th 2.83
Ir: 0.5030 0.5030 0.1528  4 Mg 2.69-2.77, 1 Ir 2.69, 2 Th 2.83
Ir: 0.7797 0.7797 0.2609  6 Mg 2.73-2.77, 2 Th 2.89

As for the formation enthalpy at 0 K: -48.4 kJ/mol of atoms. The value obtained for the raw total energy is -5.489 eV per atom. Its space group is C2/m, No. 12.

Th2MgIr9 after structural relaxation. Source: Alexandria via LeMat-Bulk, functional PBE.

Cell: 9.4684 9.4684 9.4684 Å, 32.57 32.57 32.57°
With the nearest neighbours (Å) after each atom.
Fractional positions:
Th: 0.1358 0.1358 0.1358  9 Ir 3.03-3.18
Th: 0.8642 0.8642 0.8642  9 Ir 3.03-3.18
Mg: 0.0000 0.0000 0.0000  6 Ir 3.07
Ir: 0.0810 0.5812 0.5812  7 Ir 2.65-2.76
Ir: 0.3325 0.3325 0.3325  6 Ir 2.65-2.68
Ir: 0.4188 0.4188 0.9190  7 Ir 2.65-2.76
Ir: 0.4188 0.9190 0.4188  7 Ir 2.65-2.76
Ir: 0.5000 0.5000 0.5000  6 Ir 2.76
Ir: 0.5812 0.0810 0.5812  7 Ir 2.65-2.76
Ir: 0.5812 0.5812 0.0810  7 Ir 2.65-2.76
Ir: 0.6675 0.6675 0.6675  6 Ir 2.65-2.68
Ir: 0.9190 0.4188 0.4188  7 Ir 2.65-2.76

As for the formation enthalpy at 0 K: -41.1 kJ/mol of atoms. The value obtained for the raw total energy is -8.442 eV per atom. Its space group is R-3m, No. 166.

Th2MgIr3 after structural relaxation. Source: Alexandria via LeMat-Bulk, functional PBE.

Cell: 6.5891 6.5891 6.5891 Å, 142.02 129.84 64.60°
With the nearest neighbours (Å) after each atom.
Fractional positions:
Th: 0.1770 0.1770 0.0000  6 Ir 2.83-2.98
Th: 0.8230 0.8230 0.0000  6 Ir 2.83-2.98
Mg: 0.5000 0.5000 0.0000  6 Ir 2.63-2.79
Ir: 0.0000 0.5000 0.5000  2 Mg 2.79, 4 Th 2.91
Ir: 0.3628 0.8628 0.5000  2 Mg 2.63, 2 Th 2.83
Ir: 0.6372 0.1372 0.5000  2 Mg 2.63, 2 Th 2.83

As for the formation enthalpy at 0 K: -56.1 kJ/mol of atoms. The value obtained for the raw total energy is -7.750 eV per atom. Its space group is Immm, No. 71.

Among the records above, which one has the highest raw total energy?
ThMg3Ir2

Which of these has the lowest formation enthalpy at 0 K?
Th2MgIr3

Which formula does entry 2 have?
ThMgIr